KReMo2 PBEsol relaxed; ΔE_f = 3.26 eV per formula unit; space-group type = Cmmm
1.0
1.557 -2.245 0.000
1.557 2.245 0.000
0.000 0.000 10.420
K Re Mo
1 1 2
direct
0.000 0.000 0.000 K
0.000 0.000 0.500 Re
0.500 0.500 0.296 Mo
0.500 0.500 0.704 Mo